# BaMoO3

Crystalline BaMoO3 at its relaxed geometry (GGA+U, Alexandria).

The value obtained for the electronic total energy is -6.98 eV per atom. Its spin magnetization is 2.00 μB per formula unit.

Cell lengths 4.1147, 4.1147, 4.1147 Å; angles 90.00, 90.00, 90.00 degrees
Each line ends with the local moment (μB).
Fractional coordinates of all 5 atoms:
Ba 0.5000 0.5000 0.5000  0.00
O 0.0000 0.5000 0.0000  0.00
O 0.0000 0.0000 0.5000  -0.02
O 0.5000 0.0000 0.0000  -0.01
Mo 0.0000 0.0000 0.0000  1.93